{"formula": "SnP2C", "functional": "PBE", "state": "optimized geometry", "ef_ev_per_atom": 0.565, "vol_a3_per_atom": 16.82, "sg": "No. 8", "lattice_angstrom": [[-5.004, -0.164, -2.270], [-1.436, -2.702, 3.361], [-0.646, 4.353, 3.223]], "species": ["P", "P", "P", "P", "C", "Sn", "Sn", "C"], "frac_coords": [[0.364, 0.000, 0.010], [0.277, 0.000, 0.583], [0.364, 0.500, 0.510], [0.277, 0.500, 0.083], [0.945, 0.000, 0.507], [0.854, 0.000, 0.093], [0.854, 0.500, 0.593], [0.945, 0.500, 0.007]]}

---

{"formula": "SnP2C", "functional": "PBE", "state": "optimized geometry", "ef_ev_per_atom": 0.346, "vol_a3_per_atom": 19.92, "sg": "No. 38", "lattice_angstrom": [[-2.768, -0.249, -3.367], [-1.609, -1.940, 1.466], [-6.784, 9.318, 4.889]], "species": ["Sn", "P", "C", "P", "P", "C", "P", "Sn"], "frac_coords": [[0.000, 0.000, 0.461], [0.500, 0.000, 0.313], [0.500, 0.500, 0.232], [0.500, 0.500, 0.813], [0.500, 0.500, 0.092], [0.500, 0.000, 0.732], [0.500, 0.000, 0.592], [0.000, 0.500, 0.961]]}

---

{"formula": "SnP2C", "functional": "PBE", "state": "optimized geometry", "ef_ev_per_atom": 0.597, "vol_a3_per_atom": 16.53, "sg": "No. 122", "lattice_angstrom": [[-0.349, 4.464, -4.073], [-4.665, 2.394, 3.024], [-0.216, 5.405, 1.445]], "species": ["C", "Sn", "P", "C", "Sn", "P", "P", "P"], "frac_coords": [[0.250, 0.750, 0.500], [0.750, 0.250, 0.500], [0.245, 0.625, 0.250], [0.500, 0.500, 0.000], [0.000, 0.000, 0.000], [0.875, 0.755, 0.750], [0.505, 0.125, 0.250], [0.375, 0.495, 0.750]]}

---

{"formula": "Sn2PC", "functional": "PBE", "state": "optimized geometry", "ef_ev_per_atom": 0.622, "vol_a3_per_atom": 21.76, "sg": "No. 122", "lattice_angstrom": [[-4.340, 2.102, 3.202], [-2.589, -5.176, -0.110], [-0.930, -2.897, 5.874]], "species": ["Sn", "Sn", "C", "C", "Sn", "P", "P", "Sn"], "frac_coords": [[0.875, 0.819, 0.750], [0.375, 0.431, 0.750], [0.250, 0.750, 0.500], [0.500, 0.500, 0.000], [0.181, 0.625, 0.250], [0.750, 0.250, 0.500], [0.000, 0.000, 0.000], [0.569, 0.125, 0.250]]}

---

{"formula": "SnP2C", "functional": "PBE", "state": "optimized geometry", "ef_ev_per_atom": 0.378, "vol_a3_per_atom": 17.42, "sg": "No. 44", "lattice_angstrom": [[-2.092, 2.042, -0.104], [-0.606, -0.794, -3.397], [-9.120, -9.148, 3.767]], "species": ["P", "C", "P", "Sn", "Sn", "P", "C", "P"], "frac_coords": [[0.000, 0.000, 0.734], [0.000, 0.500, 0.310], [0.500, 0.500, 0.234], [0.000, 0.000, 0.424], [0.500, 0.500, 0.924], [0.000, 0.500, 0.629], [0.500, 0.000, 0.810], [0.500, 0.000, 0.129]]}

---

{"formula": "Sn2PC", "functional": "PBE", "state": "optimized geometry", "ef_ev_per_atom": 1.326, "vol_a3_per_atom": 18.24, "sg": "No. 225", "lattice_angstrom": [[4.646, 0.585, 0.259], [1.849, 2.584, 3.450], [2.437, -2.069, 3.432]], "species": ["C", "Sn", "Sn", "P"], "frac_coords": [[0.000, 0.000, 0.000], [0.750, 0.750, 0.750], [0.250, 0.250, 0.250], [0.500, 0.500, 0.500]]}

---

{"formula": "Sr2SnPC", "functional": "PBE", "state": "optimized geometry", "ef_ev_per_atom": 0.124, "vol_a3_per_atom": 26.83, "sg": "No. 123", "lattice_angstrom": [[-1.662, 5.429, 2.096], [-3.518, -0.876, -0.520], [-0.270, -2.250, 5.612]], "species": ["Sr", "C", "Sr", "P", "Sn"], "frac_coords": [[0.000, 0.000, 0.500], [0.000, 0.500, 0.000], [0.500, 0.000, 0.000], [0.000, 0.000, 0.000], [0.500, 0.500, 0.500]]}

---

{"formula": "TaSn2PC", "functional": "PBE", "state": "optimized geometry", "ef_ev_per_atom": 1.132, "vol_a3_per_atom": 19.78, "sg": "No. 123", "lattice_angstrom": [[5.481, 0.000, 0.000], [0.000, 3.291, 0.000], [0.000, 0.000, 5.481]], "species": ["Sn", "P", "C", "Ta", "Sn"], "frac_coords": [[0.500, 0.000, 0.000], [0.000, 0.000, 0.000], [0.000, 0.500, 0.000], [0.500, 0.500, 0.500], [0.000, 0.000, 0.500]]}

---

{"formula": "SrP3C", "functional": "PBE", "state": "optimized geometry", "ef_ev_per_atom": 2.827, "vol_a3_per_atom": 32.64, "sg": "No. 221", "lattice_angstrom": [[5.465, 0.000, 0.000], [0.000, 5.465, 0.000], [0.000, 0.000, 5.465]], "species": ["P", "P", "P", "C", "Sr"], "frac_coords": [[0.000, 0.000, 0.500], [0.000, 0.500, 0.000], [0.500, 0.000, 0.000], [0.500, 0.500, 0.500], [0.000, 0.000, 0.000]]}

---

{"formula": "SrP3C", "functional": "PBE", "state": "optimized geometry", "ef_ev_per_atom": 0.691, "vol_a3_per_atom": 16.89, "sg": "No. 221", "lattice_angstrom": [[-4.087, 0.105, 1.593], [1.541, -0.890, 4.011], [0.419, 4.295, 0.792]], "species": ["P", "P", "C", "Sr", "P"], "frac_coords": [[0.000, 0.500, 0.000], [0.000, 0.000, 0.500], [0.000, 0.000, 0.000], [0.500, 0.500, 0.500], [0.500, 0.000, 0.000]]}

---

{"formula": "SrPC3", "functional": "PBE", "state": "optimized geometry", "ef_ev_per_atom": 1.508, "vol_a3_per_atom": 11.33, "sg": "No. 221", "lattice_angstrom": [[3.841, 0.000, 0.000], [0.000, 3.841, 0.000], [0.000, 0.000, 3.841]], "species": ["P", "C", "C", "Sr", "C"], "frac_coords": [[0.000, 0.000, 0.000], [0.000, 0.500, 0.000], [0.000, 0.000, 0.500], [0.500, 0.500, 0.500], [0.500, 0.000, 0.000]]}

---

{"formula": "SrPC3", "functional": "PBE", "state": "optimized geometry", "ef_ev_per_atom": 3.868, "vol_a3_per_atom": 20.43, "sg": "No. 221", "lattice_angstrom": [[-0.923, 0.496, -4.555], [4.471, -0.922, -1.006], [-1.005, -4.556, -0.292]], "species": ["C", "C", "Sr", "P", "C"], "frac_coords": [[0.000, 0.000, 0.500], [0.000, 0.500, 0.000], [0.000, 0.000, 0.000], [0.500, 0.500, 0.500], [0.500, 0.000, 0.000]]}

---

{"formula": "SrTePC2", "functional": "PBE", "state": "optimized geometry", "formation_energy_uncorrected_mev_per_atom": 1925, "vol_a3_per_atom": 25.16, "sg": "No. 123", "lattice_angstrom": [[-4.051, 1.067, 1.091], [-2.356, -3.937, -4.898], [-0.139, -3.340, 2.751]], "species": ["Sr", "Te", "C", "C", "P"], "frac_coords": [[0.000, 0.500, 0.000], [0.000, 0.000, 0.000], [0.000, 0.000, 0.500], [0.500, 0.000, 0.000], [0.500, 0.500, 0.500]]}

---

{"formula": "TaP2C", "functional": "PBE", "state": "optimized geometry", "ef_ev_per_atom": 0.340, "vol_a3_per_atom": 13.89, "sg": "No. 122", "lattice_angstrom": [[-0.013, -3.971, 3.735], [4.575, 2.023, 2.167], [0.247, 1.180, 5.234]], "species": ["C", "P", "P", "C", "P", "P", "Ta", "Ta"], "frac_coords": [[0.250, 0.750, 0.500], [0.530, 0.125, 0.250], [0.220, 0.625, 0.250], [0.500, 0.500, 0.000], [0.875, 0.780, 0.750], [0.375, 0.470, 0.750], [0.750, 0.250, 0.500], [0.000, 0.000, 0.000]]}

---

{"formula": "Ta2PC", "functional": "PBE", "state": "optimized geometry", "ef_ev_per_atom": -0.013, "vol_a3_per_atom": 17.42, "sg": "No. 122", "lattice_angstrom": [[-4.268, -1.278, 2.684], [1.647, -4.926, 0.275], [1.141, -2.036, 5.884]], "species": ["C", "Ta", "P", "P", "Ta", "Ta", "C", "Ta"], "frac_coords": [[0.500, 0.500, 0.000], [0.566, 0.125, 0.250], [0.750, 0.250, 0.500], [0.000, 0.000, 0.000], [0.375, 0.434, 0.750], [0.875, 0.816, 0.750], [0.250, 0.750, 0.500], [0.184, 0.625, 0.250]]}

---

{"formula": "TaP3C", "functional": "PBE", "state": "optimized geometry", "ef_ev_per_atom": 1.734, "vol_a3_per_atom": 22.05, "sg": "No. 221", "lattice_angstrom": [[-2.928, -3.478, 1.524], [0.034, -1.949, -4.381], [3.797, -2.664, 1.215]], "species": ["P", "Ta", "P", "P", "C"], "frac_coords": [[0.500, 0.000, 0.000], [0.000, 0.000, 0.000], [0.000, 0.000, 0.500], [0.000, 0.500, 0.000], [0.500, 0.500, 0.500]]}

---

{"formula": "TaPC3", "functional": "PBE", "state": "optimized geometry", "ef_ev_per_atom": 2.292, "vol_a3_per_atom": 14.79, "sg": "No. 221", "lattice_angstrom": [[4.197, 0.000, 0.000], [0.000, 4.197, 0.000], [0.000, 0.000, 4.197]], "species": ["P", "C", "Ta", "C", "C"], "frac_coords": [[0.500, 0.500, 0.500], [0.500, 0.000, 0.000], [0.000, 0.000, 0.000], [0.000, 0.000, 0.500], [0.000, 0.500, 0.000]]}

---

{"formula": "Ta3PC", "functional": "PBE", "state": "optimized geometry", "ef_ev_per_atom": 0.135, "vol_a3_per_atom": 15.29, "sg": "No. 221", "lattice_angstrom": [[-0.528, 1.297, 4.007], [-4.211, -0.193, -0.493], [0.031, -4.037, 1.310]], "species": ["C", "P", "Ta", "Ta", "Ta"], "frac_coords": [[0.000, 0.000, 0.000], [0.500, 0.500, 0.500], [0.000, 0.500, 0.000], [0.500, 0.000, 0.000], [0.000, 0.000, 0.500]]}

---

{"formula": "TaP3C", "functional": "PBE", "state": "optimized geometry", "ef_ev_per_atom": 0.853, "vol_a3_per_atom": 13.04, "sg": "No. 221", "lattice_angstrom": [[4.025, 0.000, 0.000], [0.000, 4.025, 0.000], [0.000, 0.000, 4.025]], "species": ["P", "P", "Ta", "C", "P"], "frac_coords": [[0.000, 0.500, 0.000], [0.000, 0.000, 0.500], [0.500, 0.500, 0.500], [0.000, 0.000, 0.000], [0.500, 0.000, 0.000]]}

---

{"formula": "Ta2PC2", "functional": "PBE", "state": "optimized geometry", "ef_ev_per_atom": 0.367, "vol_a3_per_atom": 11.45, "sg": "No. 127", "lattice_angstrom": [[6.150, 0.000, 0.000], [0.000, 6.150, 0.000], [0.000, 0.000, 3.027]], "species": ["C", "P", "C", "Ta", "P", "C", "Ta", "Ta", "C", "Ta"], "frac_coords": [[0.864, 0.636, 0.000], [0.000, 0.000, 0.000], [0.136, 0.364, 0.000], [0.662, 0.838, 0.500], [0.500, 0.500, 0.000], [0.364, 0.864, 0.000], [0.338, 0.162, 0.500], [0.162, 0.662, 0.500], [0.636, 0.136, 0.000], [0.838, 0.338, 0.500]]}

---

{"formula": "Ta2PC", "functional": "PBE", "state": "optimized geometry", "ef_ev_per_atom": -0.589, "vol_a3_per_atom": 13.83, "sg": "No. 166", "lattice_angstrom": [[-1.867, -0.593, 2.650], [-0.593, -1.590, -2.823], [4.703, -3.028, 2.635]], "species": ["Ta", "P", "C", "Ta"], "frac_coords": [[0.731, 0.961, 0.693], [0.500, 0.500, 0.000], [0.000, 0.500, 0.500], [0.269, 0.039, 0.307]]}

---

{"formula": "Ta2PC", "functional": "PBE", "state": "optimized geometry", "ef_ev_per_atom": 0.147, "vol_a3_per_atom": 13.16, "sg": "No. 225", "lattice_angstrom": [[0.000, 2.975, 2.975], [2.975, 0.000, 2.975], [2.975, 2.975, 0.000]], "species": ["P", "Ta", "Ta", "C"], "frac_coords": [[0.500, 0.500, 0.500], [0.750, 0.750, 0.750], [0.250, 0.250, 0.250], [0.000, 0.000, 0.000]]}

---

{"formula": "Ta2PC2", "functional": "PBE", "state": "optimized geometry", "ef_ev_per_atom": -0.015, "vol_a3_per_atom": 11.98, "sg": "No. 139", "lattice_angstrom": [[4.204, 0.000, 0.000], [0.000, 4.204, 0.000], [2.102, 2.102, 3.389]], "species": ["C", "C", "Ta", "P", "Ta"], "frac_coords": [[0.611, 0.611, 0.779], [0.389, 0.389, 0.221], [0.250, 0.750, 0.500], [0.000, 0.000, 0.000], [0.750, 0.250, 0.500]]}

---

{"formula": "TaPC3", "functional": "PBE", "state": "optimized geometry", "ef_ev_per_atom": 1.601, "vol_a3_per_atom": 9.55, "sg": "No. 221", "lattice_angstrom": [[-0.538, -0.196, 3.583], [-1.232, -3.393, -0.370], [3.370, -1.271, 0.437]], "species": ["C", "P", "C", "Ta", "C"], "frac_coords": [[0.000, 0.500, 0.000], [0.000, 0.000, 0.000], [0.000, 0.000, 0.500], [0.500, 0.500, 0.500], [0.500, 0.000, 0.000]]}

---

{"formula": "ZrTaPC2", "functional": "PBE", "state": "optimized geometry", "ef_ev_per_atom": 1.734, "vol_a3_per_atom": 16.78, "sg": "No. 123", "lattice_angstrom": [[4.090, 0.000, 0.000], [0.000, 5.015, 0.000], [0.000, 0.000, 4.090]], "species": ["C", "Ta", "Zr", "P", "C"], "frac_coords": [[0.000, 0.000, 0.500], [0.500, 0.500, 0.500], [0.000, 0.000, 0.000], [0.000, 0.500, 0.000], [0.500, 0.000, 0.000]]}

---

{"formula": "Zr2TaPC", "functional": "PBE", "state": "optimized geometry", "ef_ev_per_atom": 1.829, "vol_a3_per_atom": 24.07, "sg": "No. 123", "lattice_angstrom": [[5.145, 0.000, 0.000], [0.000, 4.547, 0.000], [0.000, 0.000, 5.145]], "species": ["Zr", "C", "Ta", "Zr", "P"], "frac_coords": [[0.000, 0.000, 0.500], [0.500, 0.500, 0.500], [0.000, 0.000, 0.000], [0.500, 0.000, 0.000], [0.000, 0.500, 0.000]]}

---

{"formula": "TbPC", "functional": "PBE", "state": "optimized geometry", "ef_ev_per_atom": -0.192, "vol_a3_per_atom": 19.14, "sg": "No. 8", "lattice_angstrom": [[5.015, -0.297, 0.603], [1.788, 3.517, -0.219], [-0.043, 0.413, 6.267]], "species": ["C", "Tb", "P", "P", "Tb", "C"], "frac_coords": [[0.433, 0.264, 0.059], [0.787, 0.087, 0.292], [0.152, 0.405, 0.613], [0.087, 0.437, 0.979], [0.520, 0.721, 0.831], [0.838, 0.562, 0.498]]}